Record 1
The following is a DFT calculation (PBE-GGA) of a relaxed Tb2ErTmN4 crystal.

The structure in CIF format:
```
data_Tb2ErTmN4
_symmetry_space_group_name_H-M 'P 1 2/m 1'
_symmetry_Int_Tables_number 10
_symmetry_space_group_name_Hall '-P 2y'
_cell_length_a 5.9865
_cell_length_b 3.4575
_cell_length_c 5.9874
_cell_angle_alpha 90.00
_cell_angle_beta 109.45
_cell_angle_gamma 90.00
loop_
_atom_site_label
_atom_site_type_symbol
_atom_site_fract_x
_atom_site_fract_y
_atom_site_fract_z
_atom_site_occupancy
Tb1 Tb 0.0000 0.0000 0.0000 1
Tb2 Tb 0.5000 0.5000 0.0000 1
Er1 Er 0.0000 0.5000 0.5000 1
Tm1 Tm 0.5000 0.0000 0.5000 1
N1 N 0.2491 0.0000 0.7453 1
N2 N 0.2524 0.5000 0.2552 1
```

**Raw total energy**: -8.179 eV per atom

Record 2
The following is a DFT calculation (PBE-GGA) of a relaxed Y2Ga3Cu crystal.

The structure in CIF format:
```
data_Y2Ga3Cu
_symmetry_space_group_name_H-M 'P m m 2'
_symmetry_Int_Tables_number 25
_symmetry_space_group_name_Hall 'P 2 -2'
_cell_length_a 3.6433
_cell_length_b 4.3712
_cell_length_c 7.5653
_cell_angle_alpha 90.00
_cell_angle_beta 90.00
_cell_angle_gamma 90.00
loop_
_atom_site_label
_atom_site_type_symbol
_atom_site_fract_x
_atom_site_fract_y
_atom_site_fract_z
_atom_site_occupancy
Y1 Y 0.0000 0.0000 0.0000 1
Y2 Y 0.0000 0.5000 0.4946 1
Ga1 Ga 0.5000 0.0000 0.6532 1
Ga2 Ga 0.5000 0.5000 0.1731 1
Ga3 Ga 0.5000 0.5000 0.8326 1
Cu1 Cu 0.5000 0.0000 0.3266 1
```

**ΔH_f (0 K)**: -0.607 eV/atom

Record 3
The following is a DFT calculation (PBE-GGA) of a relaxed EuBeSb2 crystal.

The structure in CIF format:
```
data_EuBeSb2
_symmetry_space_group_name_H-M 'R -3 m'
_symmetry_Int_Tables_number 166
_symmetry_space_group_name_Hall '-R 3 2"'
_cell_length_a 3.6639
_cell_length_b 3.6639
_cell_length_c 28.5050
_cell_angle_alpha 90.00
_cell_angle_beta 90.00
_cell_angle_gamma 120.00
loop_
_atom_site_label
_atom_site_type_symbol
_atom_site_fract_x
_atom_site_fract_y
_atom_site_fract_z
_atom_site_occupancy
Eu1 Eu 0.0000 0.0000 0.0000 1
Be1 Be 0.0000 0.0000 0.5000 1
Sb1 Sb 0.0000 0.0000 0.1135 1
```

**Raw total energy**: -5.367 eV per atom

Record 4
The following is a DFT calculation (PBE-GGA) of a relaxed ZrTl2Tc crystal.

The structure in CIF format:
```
data_ZrTl2Tc
_symmetry_space_group_name_H-M 'R -3 m'
_symmetry_Int_Tables_number 166
_symmetry_space_group_name_Hall '-R 3 2"'
_cell_length_a 3.1890
_cell_length_b 3.1890
_cell_length_c 28.7663
_cell_angle_alpha 90.00
_cell_angle_beta 90.00
_cell_angle_gamma 120.00
loop_
_atom_site_label
_atom_site_type_symbol
_atom_site_fract_x
_atom_site_fract_y
_atom_site_fract_z
_atom_site_occupancy
Zr1 Zr 0.0000 0.0000 0.0000 1
Tl1 Tl 0.0000 0.0000 0.2436 1
Tc1 Tc 0.0000 0.0000 0.5000 1
```

**ΔH_f (0 K)**: 0.446 eV/atom

Record 5
The following is a DFT calculation (PBE-GGA) of a relaxed CaCu8Si2 crystal.

The structure in CIF format:
```
data_CaCu8Si2
_symmetry_space_group_name_H-M 'P 4/m m m'
_symmetry_Int_Tables_number 123
_symmetry_space_group_name_Hall '-P 4 2'
_cell_length_a 6.0312
_cell_length_b 6.0312
_cell_length_c 4.8569
_cell_angle_alpha 90.00
_cell_angle_beta 90.00
_cell_angle_gamma 90.00
loop_
_atom_site_label
_atom_site_type_symbol
_atom_site_fract_x
_atom_site_fract_y
_atom_site_fract_z
_atom_site_occupancy
Ca1 Ca 0.0000 0.0000 0.0000 1
Cu1 Cu 0.2988 0.2988 0.2516 1
Si1 Si 0.0000 0.5000 0.5000 1
```

**Raw total energy**: -3.929 eV per atom

Record 6
The following is a DFT calculation (PBE-GGA) of a relaxed Ce2HoOs crystal.

The structure in CIF format:
```
data_Ce2HoOs
_symmetry_space_group_name_H-M 'R -3 m'
_symmetry_Int_Tables_number 166
_symmetry_space_group_name_Hall '-R 3 2"'
_cell_length_a 3.7479
_cell_length_b 3.7479
_cell_length_c 29.9484
_cell_angle_alpha 90.00
_cell_angle_beta 90.00
_cell_angle_gamma 120.00
loop_
_atom_site_label
_atom_site_type_symbol
_atom_site_fract_x
_atom_site_fract_y
_atom_site_fract_z
_atom_site_occupancy
Ce1 Ce 0.0000 0.0000 0.1102 1
Ho1 Ho 0.0000 0.0000 0.0000 1
Os1 Os 0.0000 0.0000 0.5000 1
```

**ΔH_f (0 K)**: 0.251 eV/atom

Number 1: magnetization 0.00 μB/cell, V 14.61 A^3/atom. Number 2: magnetization 0.00 μB/cell, V 20.08 A^3/atom. Number 3: magnetization 23.11 μB/cell, V 27.62 A^3/atom. Number 4: magnetization 0.00 μB/cell, V 21.11 A^3/atom. Number 5: magnetization 0.00 μB/cell, V 16.06 A^3/atom. Number 6: magnetization 1.54 μB/cell, V 30.36 A^3/atom.